a:
First-principles (PBEsol) data for a relaxed BaLi5 crystal, as listed in Alexandria via LeMat-Bulk.

Structure (POSCAR):
```
BaLi5
1.0
-3.082 0.589 -2.022
-0.640 -5.461 2.830
-2.257 5.334 4.994
Ba Li
1 5
Direct
0.000 0.000 0.000 Ba
0.668 0.337 0.388 Li
0.332 0.663 0.612 Li
0.311 0.622 0.205 Li
0.000 0.000 0.500 Li
0.689 0.378 0.795 Li
```



b:
First-principles (PBEsol) data for a relaxed BaLi5 crystal, as listed in Alexandria via LeMat-Bulk.

Structure (POSCAR):
```
BaLi5
1.0
-2.351 2.638 -1.857
-2.240 0.841 4.031
6.947 5.134 2.789
Ba Li
1 5
Direct
0.002 0.000 0.004 Ba
0.302 0.000 0.604 Li
0.676 0.000 0.352 Li
0.402 0.500 0.804 Li
0.787 0.500 0.574 Li
0.165 0.500 0.329 Li
```



c:
First-principles (PBEsol) data for a relaxed BaLi5 crystal, as listed in Alexandria via LeMat-Bulk.

Structure (POSCAR):
```
BaLi5
1.0
-0.208 -2.499 -2.847
-2.234 -2.222 2.114
-8.918 5.222 -3.932
Ba Li
1 5
Direct
0.500 0.500 0.000 Ba
0.000 0.000 0.768 Li
0.000 0.000 0.232 Li
0.500 0.500 0.641 Li
0.500 0.500 0.359 Li
0.000 0.000 0.500 Li
```



Tell me which of them is the most stable. Sure, it is c.



a:
First-principles (PBEsol) data for a relaxed Ba5Li crystal, as listed in Alexandria via LeMat-Bulk.

Structure (POSCAR):
```
Ba5Li
1.0
6.841 0.000 0.000
0.000 7.302 0.000
0.000 -3.651 6.324
Ba Li
5 1
Direct
0.000 0.323 0.323 Ba
0.000 0.677 0.000 Ba
0.000 0.000 0.677 Ba
0.500 0.333 0.667 Ba
0.500 0.667 0.333 Ba
0.500 0.000 0.000 Li
```



b:
First-principles (PBEsol) data for a relaxed Ba5Li crystal, as listed in Alexandria via LeMat-Bulk.

Structure (POSCAR):
```
Ba5Li
1.0
-0.870 1.796 -3.889
3.363 -6.769 -1.422
-10.244 -1.305 1.690
Ba Li
5 1
Direct
0.636 0.272 0.865 Ba
0.000 0.000 0.500 Ba
0.364 0.728 0.135 Ba
0.329 0.658 0.704 Ba
0.671 0.342 0.296 Ba
0.000 0.000 0.000 Li
```



c:
First-principles (PBEsol) data for a relaxed Ba5Li crystal, as listed in Alexandria via LeMat-Bulk.

Structure (POSCAR):
```
Ba5Li
1.0
-1.679 -3.463 -1.986
3.175 0.147 -2.941
9.430 -10.117 9.673
Ba Li
5 1
Direct
0.000 0.000 0.876 Ba
0.000 0.000 0.124 Ba
0.500 0.500 0.687 Ba
0.500 0.500 0.313 Ba
0.000 0.000 0.500 Ba
0.500 0.500 0.000 Li
```



d:
First-principles (PBEsol) data for a relaxed Ba5Li crystal, as listed in Alexandria via LeMat-Bulk.

Structure (POSCAR):
```
Ba5Li
1.0
-4.288 -1.290 1.621
2.699 -1.528 5.921
0.531 9.940 2.322
Ba Li
5 1
Direct
0.830 0.000 0.660 Ba
0.170 0.000 0.340 Ba
0.500 0.000 0.000 Ba
0.346 0.500 0.693 Ba
0.654 0.500 0.307 Ba
0.000 0.500 0.000 Li
```



Tell me which of them is the most stable. Sure, it is c.



a:
First-principles (PBEsol) data for a relaxed BaLiMg3 crystal, as listed in Alexandria via LeMat-Bulk.

Structure (POSCAR):
```
BaLiMg3
1.0
-4.446 -0.841 -4.433
4.102 -3.347 -3.478
-1.880 -5.312 2.894
Mg Ba Li
3 1 1
Direct
0.000 0.500 0.000 Mg
0.000 0.000 0.500 Mg
0.500 0.000 0.000 Mg
0.000 0.000 0.000 Ba
0.500 0.500 0.500 Li
```



b:
First-principles (PBEsol) data for a relaxed BaLiMg3 crystal, as listed in Alexandria via LeMat-Bulk.

Structure (POSCAR):
```
BaLiMg3
1.0
5.226 0.000 0.000
0.000 5.226 0.000
0.000 0.000 5.226
Mg Ba Li
3 1 1
Direct
0.000 0.500 0.000 Mg
0.000 0.000 0.500 Mg
0.500 0.000 0.000 Mg
0.500 0.500 0.500 Ba
0.000 0.000 0.000 Li
```



Tell me which of them is the most stable. Sure, it is b.



a:
First-principles (PBEsol) data for a relaxed BaLiMn2 crystal, as listed in Alexandria via LeMat-Bulk.

Structure (POSCAR):
```
BaLiMn2
1.0
-2.224 -1.863 -1.867
0.230 -2.570 2.289
-5.606 2.882 3.800
Ba Li Mn
1 1 2
Direct
0.500 0.500 0.000 Ba
0.500 0.500 0.500 Li
0.000 0.000 0.676 Mn
0.000 0.000 0.324 Mn
```



b:
First-principles (PBEsol) data for a relaxed BaLiMn2 crystal, as listed in Alexandria via LeMat-Bulk.

Structure (POSCAR):
```
BaLiMn2
1.0
5.180 0.000 0.000
2.590 4.486 0.000
2.590 1.495 4.229
Ba Li Mn
1 1 2
Direct
0.000 0.000 0.000 Ba
0.500 0.500 0.500 Li
0.250 0.250 0.250 Mn
0.750 0.750 0.750 Mn
```



Tell me which of them is the most stable. Sure, it is a.



a:
First-principles (PBEsol) data for a relaxed BaLiMn2 crystal, as listed in Alexandria via LeMat-Bulk.

Structure (POSCAR):
```
BaLiMn2
1.0
-1.291 -1.399 2.779
0.425 -3.196 -3.453
5.323 0.350 2.649
Ba Li Mn
1 1 2
Direct
0.000 0.000 0.500 Ba
0.500 0.000 0.000 Li
0.778 0.556 0.923 Mn
0.222 0.444 0.077 Mn
```



b:
First-principles (PBEsol) data for a relaxed BaLiMn2 crystal, as listed in Alexandria via LeMat-Bulk.

Structure (POSCAR):
```
BaLiMn2
1.0
5.027 0.000 0.000
2.514 4.354 0.000
2.514 1.451 4.105
Ba Li Mn
1 1 2
Direct
0.500 0.500 0.500 Ba
0.250 0.250 0.250 Li
0.000 0.000 0.000 Mn
0.750 0.750 0.750 Mn
```



Tell me which of them is the most stable. Sure, it is a.



a:
First-principles (PBEsol) data for a relaxed Ba2LiMo crystal, as listed in Alexandria via LeMat-Bulk.

Structure (POSCAR):
```
Ba2LiMo
1.0
-2.360 -0.025 2.904
2.897 -0.285 2.352
0.484 8.803 0.469
Ba Li Mo
2 1 1
Direct
0.000 0.000 0.922 Ba
0.500 0.500 0.327 Ba
0.000 0.000 0.571 Li
0.500 0.500 0.680 Mo
```



b:
First-principles (PBEsol) data for a relaxed Ba2LiMo crystal, as listed in Alexandria via LeMat-Bulk.

Structure (POSCAR):
```
Ba2LiMo
1.0
-5.512 -0.304 -1.376
-3.068 -4.540 1.530
-3.972 0.483 4.044
Ba Li Mo
2 1 1
Direct
0.750 0.750 0.750 Ba
0.250 0.250 0.250 Ba
0.500 0.500 0.500 Li
0.000 0.000 0.000 Mo
```



Tell me which of them is the most stable. Sure, it is a.